Entry from the Alexandria database: NiTe2AuN after structural relaxation (PBE).

Output
Symmetry: P4/mmm, No. 123
Energy: -4.26 eV/atom
Volume: 19.71 Å³/atom
ΔE_f (raw): 0.476 eV/atom
DOS(E_F): 0.631 states/eV per atom

Cell lengths 5.386, 5.386, 3.398 Å; angles 90.00, 90.00, 90.00 degrees
Sites, in units of the cell vectors:
Ni 0.000 0.000 0.000
Te 0.000 0.500 0.000
Te 0.500 0.000 0.000
Au 0.500 0.500 0.500
N 0.000 0.000 0.500

Entry from the Alexandria database: NiMoP2 after structural relaxation (PBE).

Output
Symmetry: P4mm, No. 99
Energy: -7.25 eV/atom
Volume: 13.05 Å³/atom
DOS(E_F): 0.208 states/eV per atom
ΔE_f: -38 kJ per mole of atoms

Cell lengths 3.237, 3.237, 4.981 Å; angles 90.00, 90.00, 90.00 degrees
Sites, in units of the cell vectors:
Ni 0.000 0.000 0.000
Mo 0.500 0.500 0.636
P 0.000 0.000 0.451
P 0.500 0.500 0.122

Entry from the Alexandria database: Sr3In8Hg3 after structural relaxation (PBE).

Output
Symmetry: Immm, No. 71
Energy: -2.31 eV/atom
Volume: 28.67 Å³/atom
DOS(E_F): 0.354 states/eV per atom
ΔE_f: -31 kJ per mole of atoms

Cell lengths 9.387, 9.387, 9.387 Å; angles 149.18, 104.06, 84.16 degrees
Sites, in units of the cell vectors:
Sr 0.000 0.000 0.000
Sr 0.313 0.313 0.000
Sr 0.687 0.687 0.000
In 0.028 0.656 0.372
In 0.132 0.859 0.274
In 0.284 0.656 0.628
In 0.415 0.141 0.274
In 0.585 0.859 0.726
In 0.716 0.344 0.372
In 0.868 0.141 0.726
In 0.972 0.344 0.628
Hg 0.317 0.500 0.817
Hg 0.500 0.000 0.500
Hg 0.683 0.500 0.183

Entry from the Alexandria database: CuHgMo2 after structural relaxation (PBE).

Output
Symmetry: P4/mmm, No. 123
Energy: -6.12 eV/atom
Volume: 15.97 Å³/atom
DOS(E_F): 0.400 states/eV per atom
ΔE_f: 38 kJ per mole of atoms

Cell lengths 3.784, 3.784, 4.463 Å; angles 90.00, 90.00, 90.00 degrees
Sites, in units of the cell vectors:
Cu 0.000 0.000 0.000
Hg 0.500 0.500 0.000
Mo 0.000 0.500 0.500
Mo 0.500 0.000 0.500

Entry from the Alexandria database: RbYCuO2 after structural relaxation (PBE).

Output
Symmetry: P2/c, No. 13
Energy: -5.98 eV/atom
Volume: 27.18 Å³/atom
ΔE_f (raw): -1.686 eV/atom
DOS(E_F): 0.293 states/eV per atom

Cell lengths 7.575, 5.697, 6.732 Å; angles 90.00, 110.67, 90.00 degrees
Sites, in units of the cell vectors:
Rb 0.000 0.196 0.250
Rb 0.000 0.804 0.750
Y 0.500 0.493 0.750
Y 0.500 0.507 0.250
Cu 0.500 0.000 0.000
Cu 0.500 0.000 0.500
O 0.385 0.291 0.450
O 0.385 0.709 0.950
O 0.615 0.291 0.050
O 0.615 0.709 0.550

Entry from the Alexandria database: TaHg2I after structural relaxation (PBE).

Output
Symmetry: Fm-3m, No. 225
Energy: -2.37 eV/atom
Volume: 25.76 Å³/atom
ΔE_f (raw): 1.129 eV/atom
DOS(E_F): 0.748 states/eV per atom

Cell lengths 5.263, 5.263, 5.263 Å; angles 60.00, 60.00, 60.00 degrees
Sites, in units of the cell vectors:
Ta 0.000 0.000 0.000
Hg 0.250 0.250 0.250
Hg 0.750 0.750 0.750
I 0.500 0.500 0.500

Entry from the Alexandria database: NbSn2I after structural relaxation (PBE).

Output
Symmetry: I-42d, No. 122
Energy: -4.14 eV/atom
Volume: 40.30 Å³/atom
ΔE_f (raw): 0.762 eV/atom
DOS(E_F): 1.076 states/eV per atom

Cell lengths 8.777, 8.777, 8.777 Å; angles 135.95, 135.95, 64.05 degrees
Sites, in units of the cell vectors:
Nb 0.000 0.000 0.000
Nb 0.750 0.250 0.500
Sn 0.045 0.625 0.920
Sn 0.375 0.295 0.420
Sn 0.705 0.125 0.080
Sn 0.875 0.955 0.580
I 0.250 0.750 0.500
I 0.500 0.500 0.000

Entry from the Alexandria database: Ca2AlSi3Ir4 after structural relaxation (PBE).

Output
Symmetry: P-4m2, No. 115
Energy: -6.84 eV/atom
Volume: 17.28 Å³/atom
ΔE_f (raw): -0.898 eV/atom
DOS(E_F): 0.328 states/eV per atom

Cell lengths 4.129, 4.129, 10.133 Å; angles 90.00, 90.00, 90.00 degrees
Sites, in units of the cell vectors:
Ca 0.000 0.500 0.247
Ca 0.500 0.000 0.753
Al 0.000 0.000 0.500
Si 0.000 0.500 0.875
Si 0.500 0.000 0.125
Si 0.500 0.500 0.500
Ir 0.000 0.000 0.000
Ir 0.000 0.500 0.636
Ir 0.500 0.000 0.364
Ir 0.500 0.500 0.000

Entry from the Alexandria database: TaCuP3 after structural relaxation (PBE).

Output
Symmetry: Pm-3m, No. 221
Energy: -5.48 eV/atom
Volume: 16.87 Å³/atom
DOS(E_F): 0.744 states/eV per atom
ΔE_f: 92 kJ per mole of atoms

Cell lengths 4.386, 4.386, 4.386 Å; angles 90.00, 90.00, 90.00 degrees
Sites, in units of the cell vectors:
Ta 0.000 0.000 0.000
Cu 0.500 0.500 0.500
P 0.000 0.500 0.500
P 0.500 0.000 0.500
P 0.500 0.500 0.000

Entry from the Alexandria database: TbInPb after structural relaxation (PBE).

Output
Symmetry: I4mm, No. 107
Energy: -3.92 eV/atom
Volume: 27.98 Å³/atom
DOS(E_F): 0.884 states/eV per atom
ΔE_f: -22 kJ per mole of atoms

Cell lengths 6.355, 6.355, 6.355 Å; angles 145.01, 145.01, 50.32 degrees
Sites, in units of the cell vectors:
Tb 0.000 0.000 0.000
In 0.667 0.667 0.000
Pb 0.316 0.316 0.000

Entry from the Alexandria database: Ta2CuW after structural relaxation (PBE).

Output
Symmetry: P4/mmm, No. 123
Energy: -10.16 eV/atom
Volume: 16.26 Å³/atom
DOS(E_F): 0.975 states/eV per atom
ΔE_f: 3 kJ per mole of atoms

Cell lengths 3.274, 3.274, 6.067 Å; angles 90.00, 90.00, 90.00 degrees
Sites, in units of the cell vectors:
Ta 0.000 0.000 0.247
Ta 0.000 0.000 0.753
Cu 0.500 0.500 0.000
W 0.500 0.500 0.500

Entry from the Alexandria database: TbSmY5Er2 after structural relaxation (PBE).

Output
Symmetry: Cmc2_1, No. 36
Energy: -5.49 eV/atom
Volume: 32.94 Å³/atom
DOS(E_F): 1.723 states/eV per atom
ΔE_f: 15 kJ per mole of atoms

Cell lengths 10.425, 10.425, 10.511 Å; angles 90.00, 90.00, 148.74 degrees
Sites, in units of the cell vectors:
Tb 0.087 0.913 0.500
Tb 0.913 0.087 0.000
Sm 0.303 0.697 0.064
Sm 0.697 0.303 0.564
Y 0.022 0.978 0.787
Y 0.112 0.888 0.075
Y 0.200 0.800 0.756
Y 0.221 0.779 0.365
Y 0.484 0.516 0.073
Y 0.516 0.484 0.573
Y 0.779 0.221 0.865
Y 0.800 0.200 0.256
Y 0.888 0.112 0.575
Y 0.978 0.022 0.287
Er 0.387 0.613 0.369
Er 0.390 0.610 0.787
Er 0.610 0.390 0.287
Er 0.613 0.387 0.869

Entry from the Alexandria database: SmEr2MgTl4 after structural relaxation (PBE).

Output
Symmetry: R-3m, No. 166
Energy: -3.39 eV/atom
Volume: 26.78 Å³/atom
DOS(E_F): 0.526 states/eV per atom
ΔE_f: -27 kJ per mole of atoms

Cell lengths 9.448, 9.448, 9.448 Å; angles 32.31, 32.31, 32.31 degrees
Sites, in units of the cell vectors:
Sm 0.000 0.000 0.000
Er 0.244 0.244 0.244
Er 0.756 0.756 0.756
Mg 0.500 0.500 0.500
Tl 0.125 0.125 0.125
Tl 0.378 0.378 0.378
Tl 0.622 0.622 0.622
Tl 0.875 0.875 0.875

Entry from the Alexandria database: AcZnSiRh3 after structural relaxation (PBE).

Output
Symmetry: Cmcm, No. 63
Energy: -6.01 eV/atom
Volume: 20.58 Å³/atom
ΔE_f (raw): -0.532 eV/atom
DOS(E_F): 0.321 states/eV per atom

Cell lengths 7.410, 7.410, 6.097 Å; angles 90.00, 90.00, 132.46 degrees
Sites, in units of the cell vectors:
Ac 0.249 0.751 0.750
Ac 0.751 0.249 0.250
Zn 0.104 0.896 0.250
Zn 0.896 0.104 0.750
Si 0.451 0.549 0.250
Si 0.549 0.451 0.750
Rh 0.239 0.239 0.000
Rh 0.239 0.239 0.500
Rh 0.284 0.716 0.250
Rh 0.716 0.284 0.750
Rh 0.761 0.761 0.000
Rh 0.761 0.761 0.500

Entry from the Alexandria database: Pm3NdTl2 after structural relaxation (PBE).

Output
Symmetry: Pmc2_1, No. 26
Energy: -4.23 eV/atom
Volume: 31.19 Å³/atom
DOS(E_F): 1.176 states/eV per atom
ΔE_f: -26 kJ per mole of atoms

Cell lengths 5.255, 10.308, 6.909 Å; angles 90.00, 90.00, 90.00 degrees
Sites, in units of the cell vectors:
Pm 0.000 0.043 0.000
Pm 0.000 0.315 0.368
Pm 0.000 0.685 0.868
Pm 0.000 0.957 0.500
Pm 0.500 0.183 0.727
Pm 0.500 0.817 0.227
Nd 0.500 0.457 0.097
Nd 0.500 0.543 0.597
Tl 0.000 0.363 0.838
Tl 0.000 0.637 0.338
Tl 0.500 0.135 0.256
Tl 0.500 0.865 0.756

Entry from the Alexandria database: Li2YAg2 after structural relaxation (PBE).

Output
Symmetry: I4/mmm, No. 139
Energy: -3.39 eV/atom
Volume: 20.58 Å³/atom
DOS(E_F): 0.338 states/eV per atom
ΔE_f: -19 kJ per mole of atoms

Cell lengths 7.290, 7.290, 7.290 Å; angles 148.92, 148.92, 44.52 degrees
Sites, in units of the cell vectors:
Li 0.250 0.750 0.500
Li 0.750 0.250 0.500
Y 0.000 0.000 0.000
Ag 0.394 0.394 0.000
Ag 0.606 0.606 0.000

Entry from the Alexandria database: Mg2VPd after structural relaxation (PBE).

Output
Symmetry: R-3m, No. 166
Energy: -4.19 eV/atom
Volume: 17.67 Å³/atom
DOS(E_F): 0.656 states/eV per atom
ΔE_f: 18 kJ per mole of atoms

Cell lengths 9.946, 9.946, 9.946 Å; angles 16.68, 16.68, 16.68 degrees
Sites, in units of the cell vectors:
Mg 0.093 0.093 0.093
Mg 0.907 0.907 0.907
V 0.000 0.000 0.000
Pd 0.500 0.500 0.500

Entry from the Alexandria database: CaSiN2F after structural relaxation (PBE).

Output
Symmetry: P4/mmm, No. 123
Energy: -4.48 eV/atom
Volume: 17.66 Å³/atom
ΔE_f (raw): 0.708 eV/atom
DOS(E_F): 0.612 states/eV per atom

Cell lengths 4.615, 4.615, 4.145 Å; angles 90.00, 90.00, 90.00 degrees
Sites, in units of the cell vectors:
Ca 0.000 0.000 0.000
Si 0.500 0.500 0.500
N 0.000 0.500 0.000
N 0.500 0.000 0.000
F 0.000 0.000 0.500